Here is a relaxed structure of TiSi2C2 from the Alexandria database. Energies are from PBE-GGA.

Geometry as extended XYZ:
```
5
Lattice="-1.909 1.909 3.645 1.909 -1.909 3.645 1.909 1.909 -3.645" Properties=species:S:1:pos:R:3 pbc="T T T"
Ti 0.000 0.000 0.000
Si 0.000 0.000 2.444
Si 0.000 0.000 4.845
C 1.909 0.000 1.822
C 0.000 1.909 1.822
```

Computed properties:
V ... 53.14 Å³ per cell
Magnetization ... 0.0 μB/cell
Space group ... No. 139
VASP energy ... -6.820 eV per atom
Theoretical density ... 4002 kg/m3